[1]
Y2VSb2 after structural relaxation. Source: the Alexandria database, functional GGA-PBE.

Unit cell a=7.534 b=7.534 c=4.423 alpha=90.00 beta=90.00 gamma=90.00
Atoms (fractional coordinates):
1 Y 0.162 0.338 0.000
2 Y 0.338 0.838 0.000
3 Y 0.662 0.162 0.000
4 Y 0.838 0.662 0.000
5 V 0.000 0.000 0.500
6 V 0.500 0.500 0.500
7 Sb 0.150 0.650 0.500
8 Sb 0.350 0.150 0.500
9 Sb 0.650 0.850 0.500
10 Sb 0.850 0.350 0.500

Output
- D(E_F) (states/eV/atom) = 0.545
- ΔE_f (raw) (eV per formula unit) = -2.90
- space group = P4/mbm (127)


[2]
As2RuPb after structural relaxation. Source: the Alexandria database, functional GGA-PBE.

Unit cell a=6.114 b=6.114 c=11.598 alpha=90.00 beta=90.00 gamma=90.00
Atoms (fractional coordinates):
1 As 0.175 0.250 0.125
2 As 0.250 0.675 0.375
3 As 0.250 0.825 0.875
4 As 0.325 0.250 0.625
5 As 0.675 0.750 0.625
6 As 0.750 0.175 0.875
7 As 0.750 0.325 0.375
8 As 0.825 0.750 0.125
9 Ru 0.000 0.000 0.000
10 Ru 0.000 0.500 0.250
11 Ru 0.500 0.000 0.750
12 Ru 0.500 0.500 0.500
13 Pb 0.000 0.000 0.500
14 Pb 0.000 0.500 0.750
15 Pb 0.500 0.000 0.250
16 Pb 0.500 0.500 0.000

Output
- formation enthalpy at 0 K (eV per formula unit) = 0.441
- D(E_F) (states/eV/atom) = 0.575
- space group = I-42d (122)


[3]
TmClO after structural relaxation. Source: the Alexandria database, functional GGA-PBE.

Unit cell a=6.246 b=3.606 c=10.861 alpha=90.00 beta=101.13 gamma=90.00
Atoms (fractional coordinates):
1 Tm 0.000 0.000 0.000
2 Tm 0.002 0.500 0.510
3 Tm 0.500 0.500 0.000
4 Tm 0.502 0.000 0.510
5 Cl 0.109 0.500 0.828
6 Cl 0.277 0.500 0.338
7 Cl 0.609 0.000 0.828
8 Cl 0.777 0.000 0.338
9 O 0.187 0.000 0.563
10 O 0.351 0.000 0.053
11 O 0.687 0.500 0.563
12 O 0.851 0.500 0.053

Output
- D(E_F) (states/eV/atom) = 0.000
- ΔE_f (raw) (eV per formula unit) = -8.91
- space group = Cm (8)


[4]
Na2Ag2Au after structural relaxation. Source: the Alexandria database, functional GGA-PBE.

Unit cell a=3.822 b=3.822 c=16.667 alpha=90.00 beta=90.00 gamma=90.00
Atoms (fractional coordinates):
1 Na 0.000 0.000 0.097
2 Na 0.000 0.000 0.903
3 Na 0.500 0.500 0.403
4 Na 0.500 0.500 0.597
5 Ag 0.000 0.500 0.250
6 Ag 0.000 0.500 0.750
7 Ag 0.500 0.000 0.250
8 Ag 0.500 0.000 0.750
9 Au 0.000 0.000 0.500
10 Au 0.500 0.500 0.000

Output
- formation enthalpy at 0 K (eV per formula unit) = -0.147
- energy above the lowest structure with this stoichiometry (eV/atom) = 0.082
- D(E_F) (states/eV/atom) = 0.331
- space group = I4/mmm (139)


[5]
HoIn4Cl7 after structural relaxation. Source: the Alexandria database, functional GGA-PBE.

Unit cell a=10.977 b=10.977 c=7.568 alpha=107.78 beta=107.78 gamma=27.49
Atoms (fractional coordinates):
1 Ho 0.000 0.000 0.000
2 In 0.305 0.305 0.753
3 In 0.415 0.415 0.376
4 In 0.585 0.585 0.624
5 In 0.695 0.695 0.247
6 Cl 0.082 0.082 0.342
7 Cl 0.104 0.104 0.881
8 Cl 0.279 0.279 0.346
9 Cl 0.500 0.500 0.000
10 Cl 0.721 0.721 0.654
11 Cl 0.896 0.896 0.119
12 Cl 0.918 0.918 0.658

Output
- D(E_F) (states/eV/atom) = 0.000
- ΔE_f (raw) (eV per formula unit) = -15.57
- space group = C2/m (12)


[6]
MgOsN2 after structural relaxation. Source: the Alexandria database, functional GGA-PBE.

Unit cell a=3.034 b=3.034 c=19.138 alpha=90.00 beta=90.00 gamma=120.00
Atoms (fractional coordinates):
1 Mg 0.000 0.000 0.000
2 Mg 0.333 0.667 0.667
3 Mg 0.667 0.333 0.333
4 Os 0.000 0.000 0.500
5 Os 0.333 0.667 0.167
6 Os 0.667 0.333 0.833
7 N 0.000 0.000 0.108
8 N 0.000 0.000 0.892
9 N 0.333 0.667 0.558
10 N 0.333 0.667 0.775
11 N 0.667 0.333 0.225
12 N 0.667 0.333 0.442

Output
- D(E_F) (states/eV/atom) = 0.534
- ΔE_f (raw) (eV per formula unit) = 2.01
- space group = R-3m (166)